Entry from Alexandria: crystalline YCuSi2Se at its relaxed geometry (PBE).

```
data_YCuSi2Se
_cell_length_a 4.271
_cell_length_b 4.271
_cell_length_c 5.943
_cell_angle_alpha 90.00
_cell_angle_beta 90.00
_cell_angle_gamma 90.00
_symmetry_space_group_name_H-M 'P 4/m m m'
_symmetry_Int_Tables_number 123
_symmetry_space_group_name_Hall '-P 4 2'
loop_
_atom_site_label
_atom_site_fract_x
_atom_site_fract_y
_atom_site_fract_z
_atom_site_occupancy
Y1 0.000 0.000 0.000 1
Cu1 0.000 0.000 0.500 1
Si1 0.000 0.500 0.500 1
Se1 0.500 0.500 0.000 1
```

Computed properties:
- energy (eV/atom) = -5.0919
- DOS at the Fermi energy (states/eV/f.u.) = 3.02
- uncorrected formation energy (meV/atom) = -114

=====

Entry from Alexandria: crystalline SbTeIr2 at its relaxed geometry (PBE).

```
data_SbTeIr2
_cell_length_a 3.076
_cell_length_b 3.595
_cell_length_c 7.144
_cell_angle_alpha 90.00
_cell_angle_beta 90.00
_cell_angle_gamma 90.00
_symmetry_space_group_name_H-M 'P m m m'
_symmetry_Int_Tables_number 47
_symmetry_space_group_name_Hall '-P 2 2'
loop_
_atom_site_label
_atom_site_fract_x
_atom_site_fract_y
_atom_site_fract_z
_atom_site_occupancy
Sb1 0.000 0.000 0.000 1
Te1 0.500 0.000 0.500 1
Ir1 0.500 0.500 0.199 1
```

Computed properties:
- energy (eV/atom) = -6.0285
- DOS at the Fermi energy (states/eV/f.u.) = 2.07
- uncorrected formation energy (meV/atom) = 218

=====

Entry from Alexandria: crystalline Pr6Sm2TmMg at its relaxed geometry (PBE).

```
data_Pr6Sm2TmMg
_cell_length_a 9.407
_cell_length_b 14.913
_cell_length_c 9.928
_cell_angle_alpha 90.00
_cell_angle_beta 100.50
_cell_angle_gamma 90.00
_symmetry_space_group_name_H-M 'C 1 2/c 1'
_symmetry_Int_Tables_number 15
_symmetry_space_group_name_Hall '-C 2yc'
loop_
_atom_site_label
_atom_site_fract_x
_atom_site_fract_y
_atom_site_fract_z
_atom_site_occupancy
Pr1 0.063 0.184 0.450 1
Pr2 0.105 0.405 0.613 1
Pr3 0.213 0.214 0.806 1
Sm1 0.242 0.046 0.054 1
Tm1 0.000 0.016 0.750 1
Mg1 0.000 0.405 0.250 1
```

Computed properties:
- energy (eV/atom) = -4.3102
- DOS at the Fermi energy (states/eV/f.u.) = 14.51
- calculated formation energy (eV/atom) = 0.108

=====

Entry from Alexandria: crystalline CaCdBr2 at its relaxed geometry (PBE).

```
data_CaCdBr2
_cell_length_a 3.753
_cell_length_b 3.753
_cell_length_c 8.571
_cell_angle_alpha 90.00
_cell_angle_beta 90.00
_cell_angle_gamma 90.00
_symmetry_space_group_name_H-M 'P 4 m m'
_symmetry_Int_Tables_number 99
_symmetry_space_group_name_Hall 'P 4 -2'
loop_
_atom_site_label
_atom_site_fract_x
_atom_site_fract_y
_atom_site_fract_z
_atom_site_occupancy
Ca1 0.000 0.000 0.000 1
Cd1 0.500 0.500 0.264 1
Br1 0.000 0.000 0.434 1
Br2 0.500 0.500 0.822 1
```

Computed properties:
- energy (eV/atom) = -2.6196
- uncorrected formation energy (meV/atom) = -1054

=====

Number 1: V 108 Å³/cell. Number 2: V 79 Å³/cell. Number 3: V 1369 Å³/cell. Number 4: V 121 Å³/cell.